Crystalline Tb3Pr3Cd2 at its relaxed geometry, computed with GGA-PBE.

Properties
Electronic total energy in eV per cell: -61.27
V in Å³ per atom: 31.65
Spin magnetization in μB/f.u.: 0.0

Cell: 6.529 6.529 15.884 Å, 90.00 90.00 131.60°
Positions (direct):
Tb (0.046, 0.954, 0.750)
Tb (0.143, 0.857, 0.034)
Tb (0.143, 0.857, 0.466)
Tb (0.857, 0.143, 0.534)
Tb (0.857, 0.143, 0.966)
Tb (0.954, 0.046, 0.250)
Pr (0.232, 0.768, 0.250)
Pr (0.463, 0.537, 0.107)
Pr (0.463, 0.537, 0.393)
Pr (0.537, 0.463, 0.607)
Pr (0.537, 0.463, 0.893)
Pr (0.768, 0.232, 0.750)
Cd (0.266, 0.734, 0.634)
Cd (0.266, 0.734, 0.866)
Cd (0.734, 0.266, 0.134)
Cd (0.734, 0.266, 0.366)